1.
Material: KErGeO3
Method: DFT, PBE-GGA
State: optimized geometry

Calculated volume   113.3 Å³/f.u.
Calculated density   4793 kg/m³
Formation energy from raw total energies   -13.67 eV per formula unit

Cell lengths 7.2065, 3.3588, 9.3603 Å; angles 90.00, 90.21, 90.00 degrees
With the nearest neighbours (Å) after each atom.
Space group P2_1/m (No. 11)
Unique sites:
K 0.1774 0.2500 0.2547 x2  5 O 2.69-2.89
Er 0.3777 0.2500 0.6222 x2  6 O 2.22-2.33
Ge 0.2507 0.7500 0.8978 x2  1 O 1.84
O 0.1439 0.2500 0.7929 x2  2 Ge 2.09, 1 Er 2.33
O 0.3338 0.7500 0.4700 x2  3 Er 2.22-2.25
O 0.4519 0.7500 0.7770 x2  1 Ge 1.84


2.
Material: SrTlCl2O
Method: DFT, PBE-GGA
State: optimized geometry

Calculated volume   151.1 Å³/f.u.
Calculated density   4164 kg/m³
Formation energy from raw total energies   -5.22 eV per formula unit

Cell lengths 5.8958, 5.8958, 4.3472 Å; angles 90.00, 90.00, 90.00 degrees
With the nearest neighbours (Å) after each atom.
Space group P4/mmm (No. 123)
Unique sites:
Sr 0.0000 0.0000 0.0000 x1  2 O 2.17
Tl 0.5000 0.5000 0.0000 x1  8 Cl 3.66
Cl 0.0000 0.5000 0.5000 x2  2 O 2.95
O 0.0000 0.0000 0.5000 x1  2 Sr 2.17


3.
Material: LiPuBiH
Method: DFT, PBE-GGA
State: optimized geometry

Calculated volume   79.8 Å³/f.u.
Calculated density   9595 kg/m³

Cell lengths 4.4163, 4.4163, 8.1800 Å; angles 90.00, 90.00, 90.00 degrees
With the nearest neighbours (Å) after each atom.
Space group P4/nmm (No. 129, origin choice 2)
Unique sites:
Li 0.2500 0.2500 0.1597 x2  1 H 2.03
Pu 0.2500 0.7500 0.5000 x2  4 H 2.33
Bi 0.2500 0.2500 0.8011 x2  5 Li 2.93-3.14, 1 H 3.22
H 0.2500 0.2500 0.4072 x2  1 Li 2.03


4.
Material: Cs2PuPbO6
Method: DFT, PBE-GGA
State: optimized geometry

Calculated volume   189.8 Å³/f.u.
Calculated density   7113 kg/m³
Formation energy from raw total energies   -18.27 eV per formula unit

Cell lengths 9.1225, 9.1225, 9.1225 Å; angles 90.00, 90.00, 90.00 degrees
With the nearest neighbours (Å) after each atom.
Space group Fm-3m (No. 225)
Unique sites:
Cs 0.2500 0.2500 0.2500 x8  12 O 3.24
Pu 0.0000 0.0000 0.0000 x4  6 O 1.99
Pb 0.0000 0.0000 0.5000 x4  6 O 2.57
O 0.0000 0.0000 0.2186 x24  1 Pu 1.99


5.
Material: Ni3AgC
Method: DFT, PBE-GGA
State: optimized geometry

Calculated volume   56.3 Å³/f.u.
Calculated density   8729 kg/m³

Cell lengths 3.8327, 3.8327, 3.8327 Å; angles 90.00, 90.00, 90.00 degrees
With the nearest neighbours (Å) after each atom.
Space group Pm-3m (No. 221)
Unique sites:
Ni 0.0000 0.0000 0.5000 x3  2 C 1.92
Ag 0.5000 0.5000 0.5000 x1  12 Ni 2.71
C 0.0000 0.0000 0.0000 x1  6 Ni 1.92


6.
Material: SmFe2B4
Method: DFT, PBE-GGA
State: optimized geometry

Calculated volume   73.9 Å³/f.u.
Calculated density   6856 kg/m³

Cell lengths 12.9430, 4.2802, 5.4229 Å; angles 90.00, 100.08, 90.00 degrees
With the nearest neighbours (Å) after each atom.
Space group C2/c (No. 15)
Unique sites:
Sm 0.0000 0.2340 0.2500 x4  8 B 2.69-2.76
Fe 0.2187 0.0039 0.6083 x8  6 B 2.01-2.15
B 0.1321 0.2757 0.8340 x8  2 B 1.70-1.71
B 0.1618 0.4777 0.5846 x8  2 B 1.70-1.71


7.
Material: Cs2CdTeF6
Method: DFT, PBE-GGA
State: optimized geometry

Calculated volume   220.0 Å³/f.u.
Calculated density   4678 kg/m³
Formation energy from raw total energies   -21.18 eV per formula unit

Cell lengths 6.9830, 6.9830, 9.0229 Å; angles 90.00, 90.00, 90.00 degrees
With the nearest neighbours (Å) after each atom.
Space group I4/mmm (No. 139)
Unique sites:
Cs 0.0000 0.5000 0.2500 x4  12 F 3.35-3.49
Cd 0.0000 0.0000 0.0000 x2  6 F 2.21-2.40
Te 0.0000 0.0000 0.5000 x2  2 F 2.11
F 0.0000 0.0000 0.2661 x4  1 Te 2.11
F 0.2241 0.2241 0.0000 x8  1 Cd 2.21


8.
Material: TcTeRu2
Method: DFT, PBE-GGA
State: optimized geometry

Calculated volume   65.0 Å³/f.u.
Calculated density   10924 kg/m³
Formation energy from raw total energies   1.86 eV per formula unit

Cell lengths 2.9618, 2.9618, 25.6743 Å; angles 90.00, 90.00, 120.00 degrees
With the nearest neighbours (Å) after each atom.
Space group R-3m (No. 166, hexagonal axes)
Unique sites:
Tc 0.0000 0.0000 0.0000 x3  6 Ru 2.68, 6 Tc 2.96
Te 0.0000 0.0000 0.5000 x3  6 Ru 2.80, 6 Te 2.96
Ru 0.0000 0.0000 0.2528 x6  3 Tc 2.68, 3 Te 2.80, 6 Ru 2.96


9.
Material: YTcSe2Br
Method: DFT, PBE-GGA
State: optimized geometry

Calculated volume   162.0 Å³/f.u.
Calculated density   4355 kg/m³
Formation energy from raw total energies   0.29 eV per formula unit

Cell lengths 5.4903, 5.4903, 5.3731 Å; angles 90.00, 90.00, 90.00 degrees
With the nearest neighbours (Å) after each atom.
Space group P4/mmm (No. 123)
Unique sites:
Y 0.0000 0.0000 0.0000 x1  2 Br 2.69, 4 Se 2.75
Tc 0.5000 0.5000 0.5000 x1  8 Se 3.84, 4 Br 3.88
Se 0.0000 0.5000 0.0000 x2  2 Y 2.75
Br 0.0000 0.0000 0.5000 x1  2 Y 2.69


10.
Material: Ca2CoSi
Method: DFT, PBE-GGA
State: optimized geometry

Calculated volume   75.2 Å³/f.u.
Calculated density   3691 kg/m³
Formation energy from raw total energies   0.41 eV per formula unit

Cell lengths 6.7006, 6.7006, 6.7006 Å; angles 90.00, 90.00, 90.00 degrees
With the nearest neighbours (Å) after each atom.
Space group F-43m (No. 216)
Unique sites:
Ca 0.0000 0.0000 0.0000 x4  4 Co 2.90, 4 Ca 2.90
Ca 0.2500 0.2500 0.2500 x4  4 Ca 2.90, 4 Si 2.90
Co 0.2500 0.2500 0.7500 x4  4 Ca 2.90, 4 Si 2.90
Si 0.0000 0.0000 0.5000 x4  4 Ca 2.90, 4 Co 2.90


11.
Material: La2Pr6Zn
Method: DFT, PBE-GGA
State: optimized geometry

Calculated volume   310.2 Å³/f.u.
Calculated density   6363 kg/m³

Cell lengths 9.6989, 9.6989, 3.8078 Å; angles 90.00, 90.00, 120.00 degrees
With the nearest neighbours (Å) after each atom.
Space group P-62m (No. 189)
Unique sites:
La 0.3333 0.6667 0.0000 x2  9 Pr 3.58-3.68, 2 La 3.81
Pr 0.0000 0.2544 0.0000 x3  2 Zn 3.12
Pr 0.0000 0.6203 0.5000 x3  4 La 3.58, 1 Zn 3.68, 6 Pr 3.77-3.81
Zn 0.0000 0.0000 0.5000 x1  6 Pr 3.12


12.
Material: Pm3TmTl
Method: DFT, PBE-GGA
State: optimized geometry

Calculated volume   153.1 Å³/f.u.
Calculated density   8766 kg/m³

Cell lengths 4.8907, 25.5937, 4.8929 Å; angles 90.00, 90.00, 90.00 degrees
With the nearest neighbours (Å) after each atom.
Space group Cmcm (No. 63)
Unique sites:
Pm 0.0000 0.0529 0.2500 x4  8 Pm 3.46-3.66, 2 Tm 3.51, 2 Tl 3.54
Pm 0.0000 0.2507 0.2500 x4  4 Pm 3.46, 4 Tl 3.47-3.50, 4 Tm 3.51-3.53
Pm 0.0000 0.4464 0.2500 x4  8 Pm 3.46-3.68, 2 Tm 3.49, 2 Tl 3.53
Tm 0.0000 0.3489 0.7500 x4  4 Tl 3.46, 8 Pm 3.49-3.53
Tl 0.0000 0.1531 0.7500 x4  4 Tm 3.46, 8 Pm 3.47-3.54


13.
Material: Y2Ga7Ag12
Method: DFT, PBE-GGA
State: optimized geometry

Calculated volume   393.0 Å³/f.u.
Calculated density   8282 kg/m³

Cell lengths 11.4247, 11.4247, 3.4769 Å; angles 90.00, 90.00, 120.00 degrees
With the nearest neighbours (Å) after each atom.
Space group P-3 (No. 147)
Unique sites:
Y 0.3333 0.6667 0.2477 x2  6 Ga 3.11, 6 Ag 3.26-3.27, 2 Y 3.48
Ga 0.0000 0.0000 0.5000 x1  6 Ag 2.66
Ga 0.1315 0.7083 0.7484 x6  7 Ag 2.67-2.84
Ag 0.0721 0.4502 0.7504 x6  4 Ga 2.67-2.74, 4 Ag 2.96-2.99
Ag 0.0933 0.2502 0.2444 x6  4 Ga 2.66-2.84, 1 Ag 2.96


14.
Material: Sm2IrPt
Method: DFT, PBE-GGA
State: optimized geometry

Calculated volume   92.9 Å³/f.u.
Calculated density   12305 kg/m³

Cell lengths 5.8301, 4.2783, 7.9278 Å; angles 90.00, 110.10, 90.00 degrees
With the nearest neighbours (Å) after each atom.
Space group P2_1/m (No. 11)
Unique sites:
Sm 0.2137 0.2500 0.4340 x2  4 Ir 2.96-3.23, 3 Pt 3.02-3.17
Sm 0.2192 0.2500 0.9239 x2  3 Ir 2.94-3.18, 4 Pt 2.99-3.15
Ir 0.3298 0.7500 0.7090 x2  2 Pt 2.85, 6 Sm 2.94-3.18
Pt 0.3273 0.7500 0.2064 x2  2 Ir 2.85, 7 Sm 2.99-3.17


15.
Material: Cr2FeCo
Method: DFT, PBE-GGA
State: optimized geometry

Calculated volume   45.4 Å³/f.u.
Calculated density   7996 kg/m³

Cell lengths 4.0379, 4.0379, 2.7863 Å; angles 90.00, 90.00, 90.00 degrees
With the nearest neighbours (Å) after each atom.
Space group P4/mmm (No. 123)
Unique sites:
Cr 0.0000 0.5000 0.0000 x2  4 Fe 2.45, 4 Co 2.45
Fe 0.0000 0.0000 0.5000 x1  8 Cr 2.45
Co 0.5000 0.5000 0.5000 x1  8 Cr 2.45


16.
Material: Ba2SrMn
Method: DFT, PBE-GGA
State: optimized geometry

Calculated volume   178.3 Å³/f.u.
Calculated density   3886 kg/m³

Cell lengths 4.2383, 6.3461, 13.2560 Å; angles 90.00, 90.00, 90.00 degrees
With the nearest neighbours (Å) after each atom.
Space group Immm (No. 71)
Unique sites:
Ba 0.0000 0.0000 0.1997 x4  2 Mn 3.39
Sr 0.0000 0.5000 0.0000 x2  4 Mn 3.82, 4 Ba 4.13, 2 Sr 4.24
Mn 0.0000 0.5000 0.5000 x2  4 Ba 3.39


17.
Material: K2Rb3Na7
Method: DFT, PBE-GGA
State: optimized geometry

Calculated volume   659.9 Å³/f.u.
Calculated density   1247 kg/m³

Cell lengths 7.7649, 7.7649, 37.9120 Å; angles 90.00, 90.00, 120.00 degrees
With the nearest neighbours (Å) after each atom.
Space group R-3m (No. 166, hexagonal axes)
Unique sites:
K 0.0000 0.0000 0.1662 x6  6 Na 4.07, 3 Rb 4.48, 3 K 4.48
Rb 0.0000 0.0000 0.3601 x6  12 Na 4.32-4.60
Rb 0.0000 0.0000 0.5000 x3  6 K 4.48
Na 0.0000 0.0000 0.0000 x3  6 Na 3.70
Na 0.0039 0.5019 0.4104 x18  5 Na 3.70-3.93, 2 K 4.07


18.
Material: TiFeI6
Method: DFT, PBE-GGA
State: optimized geometry

Calculated volume   306.5 Å³/f.u.
Calculated density   4687 kg/m³
Formation energy from raw total energies   -3.16 eV per formula unit

Cell lengths 6.8963, 13.7518, 6.8966 Å; angles 90.00, 110.40, 90.00 degrees
With the nearest neighbours (Å) after each atom.
Space group C2/m (No. 12)
Unique sites:
Ti 0.0000 0.0000 0.0000 x2  6 I 2.75-2.79
Fe 0.0000 0.5000 0.5000 x2  6 I 2.77-2.92
I 0.2422 0.0000 0.7574 x4  1 Ti 2.75, 1 Fe 2.92
I 0.2486 0.3573 0.7489 x8  1 Fe 2.77, 1 Ti 2.79


19.
Material: Mg2IrRh9
Method: DFT, PBE-GGA
State: optimized geometry

Calculated volume   174.2 Å³/f.u.
Calculated density   11121 kg/m³

Cell lengths 3.8615, 3.8615, 11.6855 Å; angles 90.00, 90.00, 90.00 degrees
With the nearest neighbours (Å) after each atom.
Space group P4/mmm (No. 123)
Unique sites:
Mg 0.0000 0.0000 0.1661 x2  12 Rh 2.73-2.79
Ir 0.0000 0.0000 0.5000 x1  12 Rh 2.70-2.73
Rh 0.0000 0.5000 0.0000 x2  8 Rh 2.73-2.76, 4 Mg 2.74
Rh 0.0000 0.5000 0.3386 x4  2 Ir 2.70, 8 Rh 2.70-2.77, 2 Mg 2.79
Rh 0.5000 0.5000 0.1687 x2  4 Mg 2.73, 8 Rh 2.76-2.77
Rh 0.5000 0.5000 0.5000 x1  8 Rh 2.70, 4 Ir 2.73


20.
Material: Fe2Ge
Method: DFT, PBE-GGA
State: optimized geometry

Calculated volume   35.2 Å³/f.u.
Calculated density   8687 kg/m³

Cell lengths 3.9932, 12.0793, 2.9220 Å; angles 90.00, 90.00, 90.00 degrees
With the nearest neighbours (Å) after each atom.
Space group Cmmm (No. 65)
Unique sites:
Fe 0.0000 0.0000 0.0000 x2  8 Fe 2.47-2.54
Fe 0.0000 0.1716 0.5000 x4  6 Ge 2.48-2.51, 4 Fe 2.54-2.75
Fe 0.0000 0.5000 0.5000 x2  4 Ge 2.42, 4 Fe 2.47
Ge 0.0000 0.3404 0.0000 x4  8 Fe 2.42-2.51


21.
Material: P2HW2
Method: DFT, PBE-GGA
State: optimized geometry

Calculated volume   79.0 Å³/f.u.
Calculated density   9049 kg/m³

Cell lengths 4.0883, 4.0883, 9.4557 Å; angles 90.00, 90.00, 90.00 degrees
With the nearest neighbours (Å) after each atom.
Space group I4/mmm (No. 139)
Unique sites:
P 0.0000 0.0000 0.1154 x4  1 P 2.18, 4 W 2.41
H 0.0000 0.0000 0.5000 x2  8 P 3.09, 8 W 3.13
W 0.0000 0.5000 0.2500 x4  4 P 2.41


22.
Material: NpTl2Cl2O4
Method: DFT, PBE-GGA
State: optimized geometry

Calculated volume   209.7 Å³/f.u.
Calculated density   6183 kg/m³
Formation energy from raw total energies   -13.71 eV per formula unit

Cell lengths 6.5552, 6.5552, 9.7579 Å; angles 90.00, 90.00, 90.00 degrees
With the nearest neighbours (Å) after each atom.
Space group I4/mmm (No. 139)
Unique sites:
Np 0.0000 0.0000 0.0000 x2  4 O 1.86
Tl 0.0000 0.5000 0.2500 x4  4 Cl 3.29, 8 O 3.40
Cl 0.0000 0.0000 0.2809 x4  1 Np 2.74
O 0.2009 0.2009 0.0000 x8  1 Np 1.86


23.
Material: Pm4MgZn2Cd
Method: DFT, PBE-GGA
State: optimized geometry

Calculated volume   211.3 Å³/f.u.
Calculated density   6659 kg/m³

Cell lengths 5.2996, 5.2996, 26.0672 Å; angles 90.00, 90.00, 120.00 degrees
With the nearest neighbours (Å) after each atom.
Space group R-3m (No. 166, hexagonal axes)
Unique sites:
Pm 0.0000 0.0000 0.1244 x6  4 Zn 3.17-3.21, 1 Cd 3.24, 3 Mg 3.25
Pm 0.0000 0.0000 0.3748 x6  3 Cd 3.24, 1 Mg 3.26, 4 Zn 3.29-3.36
Mg 0.0000 0.0000 0.5000 x3  8 Pm 3.25-3.26
Zn 0.0000 0.0000 0.2459 x6  8 Pm 3.17-3.36
Cd 0.0000 0.0000 0.0000 x3  8 Pm 3.24


24.
Material: Sc2FeH2
Method: DFT, PBE-GGA
State: optimized geometry

Calculated volume   58.7 Å³/f.u.
Calculated density   4183 kg/m³

Cell lengths 3.1957, 3.1957, 11.4884 Å; angles 90.00, 90.00, 90.00 degrees
With the nearest neighbours (Å) after each atom.
Space group I4/mmm (No. 139)
Unique sites:
Sc 0.0000 0.0000 0.1376 x4  4 H 2.05
Fe 0.0000 0.0000 0.5000 x2  8 Sc 2.76
H 0.0000 0.5000 0.2500 x4  4 Sc 2.05, 4 H 2.26


Number 1: final energy -0.47554 Ry/atom. Number 2: final energy -0.26347 Ry/atom. Number 3: final energy -0.45947 Ry/atom. Number 4: final energy -0.49804 Ry/atom. Number 5: final energy -0.42236 Ry/atom. Number 6: final energy -0.53066 Ry/atom. Number 7: final energy -0.28054 Ry/atom. Number 8: final energy -0.55498 Ry/atom. Number 9: final energy -0.37021 Ry/atom. Number 10: final energy -0.29615 Ry/atom. Number 11: final energy -0.32758 Ry/atom. Number 12: final energy -0.31933 Ry/atom. Number 13: final energy -0.25024 Ry/atom. Number 14: final energy -0.51640 Ry/atom. Number 15: final energy -0.62539 Ry/atom. Number 16: final energy -0.24149 Ry/atom. Number 17: final energy -0.08571 Ry/atom. Number 18: final energy -0.26474 Ry/atom. Number 19: final energy -0.48976 Ry/atom. Number 20: final energy -0.52905 Ry/atom. Number 21: final energy -0.55398 Ry/atom. Number 22: final energy -0.44839 Ry/atom. Number 23: final energy -0.23899 Ry/atom. Number 24: final energy -0.43461 Ry/atom.